Material: Li2YSi
Method: DFT, PBE
State: relaxed

a b c (Å): 10.2932 10.2932 10.2932
angles (deg): 157.01 157.01 32.75
Fractional coordinates of all 8 atoms:
Li 0.0426 0.1250 0.4176
Li 0.3750 0.9574 0.0824
Li 0.7074 0.6250 0.5824
Li 0.8750 0.2926 0.9176
Y 0.2500 0.7500 0.5000
Y 0.5000 0.5000 0.0000
Si 0.0000 0.0000 0.0000
Si 0.7500 0.2500 0.5000

For the calculated volume, the calculation gives 166.3 Å³ per cell. The value obtained for the density of states at the Fermi level is 0.23 states/eV per atom. As for the space group: I-42d (122). Its formation energy from raw total energies is -0.141 eV per atom. The calculation puts the total energy at -4.069 eV per atom.